This record from OQMD describes a relaxed structure of SmB7H8O16. The functional is PBE.

Lattice parameters (Å, degrees): 6.7606 7.0131 12.0051 93.07 99.78 102.00
Last column: nearest neighbours and their distance in Å.
Element x y z (fractional)
O 0.1248 0.6918 0.6250  1 H 0.99
O 0.9090 0.0895 0.1173  1 H 1.00
O 0.5818 0.5243 0.2099  2 B 1.37-1.48, 1 H 1.53
O 0.1816 0.5342 0.9264  1 H 1.01
O 0.8752 0.3082 0.3750  1 H 0.99
O 0.8184 0.4658 0.0736  1 H 1.01
O 0.4775 0.8550 0.6036  1 H 0.98
O 0.2895 0.5907 0.4749  2 B 1.45-1.47
O 0.8437 0.2922 0.9049  1 H 1.03
O 0.5365 0.2140 0.9847  1 H 1.01
O 0.7946 0.2621 0.6980  1 H 1.06
O 0.2998 0.4276 0.3030  2 B 1.38-1.47
O 0.3045 0.1304 0.7871  2 B 1.38-1.48
O 0.2054 0.7379 0.3020  1 H 1.06
O 0.5225 0.1450 0.3964  1 H 0.98
O 0.4182 0.4757 0.7901  2 B 1.37-1.48, 1 H 1.53
O 0.7105 0.4093 0.5251  2 B 1.45-1.47
O 0.8395 0.1076 0.5224  2 B 1.47-1.51
O 0.0910 0.9105 0.8827  1 H 1.00
O 0.0435 0.0016 0.3002  2 B 1.40-1.46
O 0.7002 0.5724 0.6970  2 B 1.38-1.47
O 0.4635 0.7860 0.0153  1 H 1.01
O 0.4498 0.2666 0.6283  2 B 1.44-1.46
O 0.1563 0.7078 0.0951  1 H 1.03
O 0.1605 0.8924 0.4776  2 B 1.47-1.51
O 0.3196 0.2346 0.1408  1 H 1.01
O 0.1291 0.3098 0.6462  2 B 1.45-1.47
O 0.6804 0.7654 0.8592  1 H 1.01
O 0.9565 0.9984 0.6998  2 B 1.40-1.46
O 0.5502 0.7334 0.3717  2 B 1.44-1.46
O 0.8709 0.6902 0.3538  2 B 1.45-1.47
O 0.6955 0.8696 0.2129  2 B 1.38-1.48
H 0.4861 0.9884 0.6363  1 O 0.98
H 0.0576 0.1477 0.1195  1 O 1.00
H 0.2778 0.5130 0.8729  1 O 1.01
H 0.5139 0.0116 0.3637  1 O 0.98
H 0.1303 0.5592 0.6480  1 O 0.99
H 0.7222 0.4870 0.1271  1 O 1.01
H 0.4001 0.2186 0.0784  1 O 1.01
H 0.9842 0.3902 0.9176  1 O 1.03
H 0.9424 0.8523 0.8805  1 O 1.00
H 0.8697 0.4408 0.3520  1 O 0.99
H 0.8026 0.2608 0.7867  1 O 1.06
H 0.0158 0.6098 0.0824  1 O 1.03
H 0.4549 0.1602 0.9073  1 O 1.01
H 0.5999 0.7814 0.9216  1 O 1.01
H 0.1974 0.7392 0.2133  1 O 1.06
H 0.5451 0.8398 0.0927  1 O 1.01
B 0.3265 0.2939 0.7143  4 O 1.46-1.48
B 0.5956 0.6078 0.7827  3 O 1.36-1.38
B 0.7325 0.3172 0.9891  3 O 1.36-1.38
B 0.3418 0.6236 0.3644  4 O 1.44-1.48
B 0.4044 0.3922 0.2173  3 O 1.36-1.38
B 0.2671 0.7576 0.5480  4 O 1.47-1.51
B 0.7329 0.2424 0.4520  4 O 1.47-1.51
B 0.6735 0.7061 0.2857  4 O 1.46-1.48
B 0.6582 0.3764 0.6356  4 O 1.44-1.48
B 0.9348 0.1727 0.6418  4 O 1.45-1.47
B 0.1186 0.0079 0.7905  3 O 1.35-1.40
B 0.8814 0.9921 0.2095  3 O 1.35-1.40
B 0.0652 0.8273 0.3582  4 O 1.45-1.47
B 0.2675 0.6828 0.0109  3 O 1.36-1.38
Sm 0.7914 0.7607 0.5465  8 O 2.37-2.54
Sm 0.2086 0.2393 0.4535  8 O 2.37-2.54

Summary:
Calculated total energy: -0.255 Ha/atom


This record from OQMD describes a relaxed structure of SmAgGe2Pd. The functional is PBE.

Lattice parameters (Å, degrees): 6.1522 6.1522 6.1522 139.49 139.49 58.62
Last column: nearest neighbours and their distance in Å.
Element x y z (fractional)
Ge 0.6360 0.1360 0.5000  1 Ge 2.45, 2 Ag 2.58, 2 Pd 2.58
Ge 0.8640 0.3640 0.5000  1 Ge 2.45, 2 Pd 2.58, 2 Ag 2.58
Ag 0.0000 0.0000 0.0000  4 Ge 2.58
Pd 0.5000 0.5000 0.0000  4 Ge 2.58
Sm 0.2500 0.7500 0.5000  8 Ge 3.25, 4 Pd 3.42, 4 Ag 3.42

Summary:
Calculated total energy: -0.184 Ha/atom


This record from OQMD describes a relaxed structure of CoCuPtPb. The functional is PBE.

Lattice parameters (Å, degrees): 4.4485 4.4485 4.4485 60.00 60.00 60.00
Last column: nearest neighbours and their distance in Å.
Element x y z (fractional)
Cu 0.2500 0.2500 0.2500  4 Pb 2.72, 4 Pt 2.72
Pb 0.0000 0.0000 0.0000  4 Cu 2.72, 4 Co 2.72
Pt 0.5000 0.5000 0.5000  4 Co 2.72, 4 Cu 2.72
Co 0.7500 0.7500 0.7500  4 Pt 2.72, 4 Pb 2.72

Summary:
Calculated total energy: -0.181 Ha/atom


This record from OQMD describes a relaxed structure of HoTmGe4. The functional is PBE.

Lattice parameters (Å, degrees): 3.9082 8.2216 8.2216 28.35 90.00 90.00
Last column: nearest neighbours and their distance in Å.
Element x y z (fractional)
Ge 0.5000 0.0516 0.0516  2 Ge 2.58
Ge 0.5000 0.7537 0.7537  4 Ge 2.81, 2 Tm 3.04, 2 Ho 3.09
Ge 0.0000 0.2484 0.2484  4 Ge 2.81, 2 Ho 3.06, 2 Tm 3.07
Ge 0.0000 0.9458 0.9458  2 Ge 2.58
Tm 0.5000 0.3969 0.3969  10 Ge 2.91-3.18
Ho 0.0000 0.6036 0.6036  10 Ge 2.93-3.22

Summary:
Calculated total energy: -0.191 Ha/atom